Record 1
# Pm4Sm8Y3

An optimized crystal structure of Pm4Sm8Y3 (PBE, the Alexandria database).

The structure in POSCAR format:
```
Pm4Sm8Y3
1.0
3.524 2.034 11.987
-3.524 2.034 11.987
0.000 -4.069 11.987
Pm Sm Y
4 8 3
Direct
0.000 0.000 0.000
0.164 0.164 0.164
0.500 0.500 0.500
0.836 0.836 0.836
0.250 0.250 0.748
0.250 0.748 0.250
0.252 0.750 0.750
0.254 0.254 0.254
0.746 0.746 0.746
0.748 0.250 0.250
0.750 0.252 0.750
0.750 0.750 0.252
0.000 0.500 0.500
0.500 0.000 0.500
0.500 0.500 0.000
```

Output
The total magnetic moment is 0.00 Bohr magnetons per cell. The density is 6.602 g/cm3. As for the symmetry: No. 166. Its density of states at the Fermi level is 24.41 states/eV/cell. Its electronic total energy is -4.9486 eV/atom.


Record 2
# PuAlGaCu

An optimized crystal structure of PuAlGaCu (PBE, the Alexandria database).

The structure in POSCAR format:
```
PuAlGaCu
1.0
6.627 0.000 0.000
0.000 6.627 0.000
0.000 0.000 6.627
Pu Al Ga Cu
4 4 4 4
Direct
0.000 0.000 0.000
0.000 0.500 0.500
0.500 0.000 0.500
0.500 0.500 0.000
0.000 0.000 0.500
0.000 0.500 0.000
0.500 0.000 0.000
0.500 0.500 0.500
0.250 0.250 0.250
0.250 0.750 0.750
0.750 0.250 0.750
0.750 0.750 0.250
0.250 0.250 0.750
0.250 0.750 0.250
0.750 0.250 0.250
0.750 0.750 0.750
```

Output
The total magnetic moment is 21.59 Bohr magnetons per cell. The density is 9.224 g/cm3. As for the symmetry: No. 216. Its density of states at the Fermi level is 31.71 states/eV/cell. Its electronic total energy is -6.4976 eV/atom.


Record 3
# Zr2SiOs

An optimized crystal structure of Zr2SiOs (PBE, the Alexandria database).

The structure in POSCAR format:
```
Zr2SiOs
1.0
4.285 0.000 0.000
0.000 4.285 0.000
0.000 0.000 7.741
Zr Si Os
4 2 2
Direct
0.000 0.500 0.250
0.000 0.500 0.750
0.500 0.000 0.250
0.500 0.000 0.750
0.000 0.000 0.000
0.500 0.500 0.500
0.000 0.000 0.500
0.500 0.500 0.000
```

Output
The total magnetic moment is 0.00 Bohr magnetons per cell. The density is 9.365 g/cm3. As for the symmetry: No. 139. Its density of states at the Fermi level is 5.63 states/eV/cell. The energy relative to the elements, uncorrected comes out at -0.384 eV/atom.


Record 4
# ErVCoRu

An optimized crystal structure of ErVCoRu (PBE, the Alexandria database).

The structure in POSCAR format:
```
ErVCoRu
1.0
6.294 0.000 0.000
0.000 6.294 0.000
0.000 0.000 6.294
Er V Co Ru
4 4 4 4
Direct
0.000 0.000 0.000
0.000 0.500 0.500
0.500 0.000 0.500
0.500 0.500 0.000
0.000 0.000 0.500
0.000 0.500 0.000
0.500 0.000 0.000
0.500 0.500 0.500
0.250 0.250 0.250
0.250 0.750 0.750
0.750 0.250 0.750
0.750 0.750 0.250
0.250 0.250 0.750
0.250 0.750 0.250
0.750 0.250 0.250
0.750 0.750 0.750
```

Output
The total magnetic moment is 4.46 Bohr magnetons per cell. The density is 10.074 g/cm3. As for the symmetry: No. 216. Its density of states at the Fermi level is 15.33 states/eV/cell. Its electronic total energy is -7.5856 eV/atom.


Record 5
# MgScAu

An optimized crystal structure of MgScAu (PBE, the Alexandria database).

The structure in POSCAR format:
```
MgScAu
1.0
4.963 0.000 0.000
0.000 9.378 0.000
0.000 0.000 5.156
Mg Sc Au
4 4 4
Direct
0.000 0.058 0.250
0.000 0.942 0.750
0.500 0.442 0.750
0.500 0.558 0.250
0.000 0.272 0.750
0.000 0.728 0.250
0.500 0.228 0.250
0.500 0.772 0.750
0.000 0.396 0.250
0.000 0.604 0.750
0.500 0.104 0.750
0.500 0.896 0.250
```

Output
The total magnetic moment is 0.00 Bohr magnetons per cell. The density is 7.369 g/cm3. As for the symmetry: No. 63. Its density of states at the Fermi level is 6.03 states/eV/cell. Its electronic total energy is -4.2024 eV/atom.


Record 6
# NpZnSn

An optimized crystal structure of NpZnSn (PBE, the Alexandria database).

The structure in POSCAR format:
```
NpZnSn
1.0
7.936 0.000 0.000
0.000 3.555 0.000
0.000 0.000 8.858
Np Zn Sn
4 4 4
Direct
0.005 0.250 0.090
0.495 0.750 0.590
0.505 0.250 0.410
0.995 0.750 0.910
0.174 0.250 0.617
0.326 0.750 0.117
0.674 0.250 0.883
0.826 0.750 0.383
0.166 0.750 0.378
0.334 0.250 0.878
0.666 0.750 0.122
0.834 0.250 0.622
```

Output
The total magnetic moment is 0.00 Bohr magnetons per cell. The density is 11.195 g/cm3. As for the symmetry: No. 62. Its density of states at the Fermi level is 12.19 states/eV/cell. Its electronic total energy is -6.1315 eV/atom.


Record 7
# TlCuRh

An optimized crystal structure of TlCuRh (PBE, the Alexandria database).

The structure in POSCAR format:
```
TlCuRh
1.0
4.347 0.000 0.000
-2.174 3.765 0.000
0.000 0.000 3.053
Tl Cu Rh
1 1 1
Direct
0.000 0.000 0.000
0.667 0.333 0.278
0.333 0.667 0.578
```

Output
The total magnetic moment is 0.00 Bohr magnetons per cell. The density is 12.323 g/cm3. As for the symmetry: No. 156. Its density of states at the Fermi level is 1.14 states/eV/cell. Its electronic total energy is -4.3934 eV/atom.


Record 8
# Sm3YTl2

An optimized crystal structure of Sm3YTl2 (PBE, the Alexandria database).

The structure in POSCAR format:
```
Sm3YTl2
1.0
8.210 -2.511 0.000
8.210 2.511 0.000
-4.880 0.000 9.003
Sm Y Tl
6 2 4
Direct
0.043 0.043 0.363
0.288 0.288 0.619
0.368 0.368 0.330
0.632 0.632 0.670
0.712 0.712 0.381
0.957 0.957 0.637
0.118 0.118 0.068
0.882 0.882 0.932
0.240 0.240 0.895
0.490 0.490 0.142
0.510 0.510 0.858
0.760 0.760 0.105
```

Output
The total magnetic moment is 0.00 Bohr magnetons per cell. The density is 8.489 g/cm3. As for the symmetry: No. 12. Its density of states at the Fermi level is 12.27 states/eV/cell. Its electronic total energy is -4.4123 eV/atom.


Record 9
# Sc2SnPb2

An optimized crystal structure of Sc2SnPb2 (PBE, the Alexandria database).

The structure in POSCAR format:
```
Sc2SnPb2
1.0
7.616 0.000 0.000
0.000 7.616 0.000
0.000 0.000 4.521
Sc Sn Pb
4 2 4
Direct
0.160 0.340 0.000
0.340 0.840 0.000
0.660 0.160 0.000
0.840 0.660 0.000
0.000 0.000 0.000
0.500 0.500 0.000
0.150 0.650 0.500
0.350 0.150 0.500
0.650 0.850 0.500
0.850 0.350 0.500
```

Output
The total magnetic moment is 0.00 Bohr magnetons per cell. The density is 7.890 g/cm3. As for the symmetry: No. 127. Its density of states at the Fermi level is 3.99 states/eV/cell. Its electronic total energy is -5.1220 eV/atom.


Record 10
# TaHgRu2Rh

An optimized crystal structure of TaHgRu2Rh (PBE, the Alexandria database).

The structure in POSCAR format:
```
TaHgRu2Rh
1.0
4.815 0.000 0.000
0.000 4.815 0.000
0.000 0.000 4.958
Ta Hg Ru Rh
1 1 2 1
Direct
0.000 0.000 0.000
0.000 0.000 0.500
0.000 0.500 0.500
0.500 0.000 0.500
0.500 0.500 0.000
```

Output
The total magnetic moment is 2.00 Bohr magnetons per cell. The density is 9.916 g/cm3. As for the symmetry: No. 123. Its density of states at the Fermi level is 6.48 states/eV/cell. Its electronic total energy is -5.1182 eV/atom.


Record 11
# MnNbFe2H

An optimized crystal structure of MnNbFe2H (PBE, the Alexandria database).

The structure in POSCAR format:
```
MnNbFe2H
1.0
3.647 0.000 0.000
0.000 3.647 0.000
0.000 0.000 3.964
Mn Nb Fe H
1 1 2 1
Direct
0.000 0.000 0.000
0.500 0.500 0.000
0.000 0.500 0.500
0.500 0.000 0.500
0.500 0.500 0.500
```

Output
The total magnetic moment is 3.10 Bohr magnetons per cell. The density is 8.204 g/cm3. As for the symmetry: No. 123. Its density of states at the Fermi level is 5.45 states/eV/cell. Its electronic total energy is -7.8505 eV/atom.


Record 12
# TaAuF2

An optimized crystal structure of TaAuF2 (PBE, the Alexandria database).

The structure in POSCAR format:
```
TaAuF2
1.0
2.961 0.000 0.000
-1.480 2.564 0.000
0.000 0.000 31.931
Ta Au F
3 3 6
Direct
0.000 0.000 0.000
0.333 0.667 0.667
0.667 0.333 0.333
0.000 0.000 0.500
0.333 0.667 0.167
0.667 0.333 0.833
0.000 0.000 0.059
0.000 0.000 0.941
0.333 0.667 0.608
0.333 0.667 0.725
0.667 0.333 0.275
0.667 0.333 0.392
```

Output
The total magnetic moment is 0.00 Bohr magnetons per cell. The density is 8.548 g/cm3. As for the symmetry: No. 166. Its density of states at the Fermi level is 3.18 states/eV/cell. The energy relative to the elements, uncorrected comes out at -1.407 eV/atom.


- density of states at the Fermi level of number 6 (NpZnSn)?
  12.19 states/eV/cell